LiCdH2Ru: relaxed, GGA-PBE.

abc: 3.634 5.546 3.634
angles: 90.00 90.00 90.00
Atoms (fractional coordinates):
Cd: 0.000 0.000 0.000
H: 0.500 0.000 0.000
H: 0.000 0.000 0.500
Ru: 0.000 0.500 0.000
Li: 0.500 0.500 0.500

E in eV/atom: -2.83
Space group: P4/mmm (123)